# 1
The following is a DFT calculation (PBE) of crystalline PmDy2Cu at its relaxed geometry.

ρ ... 8.12 g/cm³
Formation energy from the elements ... -0.064 eV/atom
Total magnetization ... 0.00 μB per formula unit
Excess energy over the best structure of this formula in the dataset ... 0.037 eV/atom

Cell and atoms, written as CIF:
```
data_PmDy2Cu
_cell_length_a 4.944
_cell_length_b 11.725
_cell_length_c 7.526
_cell_angle_alpha 90.00
_cell_angle_beta 90.00
_cell_angle_gamma 90.00
_symmetry_space_group_name_H-M 'C m c m'
_symmetry_Int_Tables_number 63
_symmetry_space_group_name_Hall '-C 2c 2'
loop_
_atom_site_label
_atom_site_type_symbol
_atom_site_fract_x
_atom_site_fract_y
_atom_site_fract_z
_atom_site_occupancy
Pm1 Pm 0.000 0.047 0.250 1
Dy1 Dy 0.000 0.351 0.031 1
Cu1 Cu 0.000 0.201 0.750 1
```


# 2
The following is a DFT calculation (PBE) of crystalline Li2NbBr6 at its relaxed geometry.

ρ ... 3.65 g/cm³
Total magnetization ... 1.00 μB per formula unit
Excess energy over the best structure of this formula in the dataset ... 0.003 eV/atom

Cell and atoms, written as CIF:
```
data_Li2NbBr6
_cell_length_a 6.704
_cell_length_b 7.238
_cell_length_c 12.457
_cell_angle_alpha 90.00
_cell_angle_beta 118.20
_cell_angle_gamma 90.00
_symmetry_space_group_name_H-M 'P 1 21/c 1'
_symmetry_Int_Tables_number 14
_symmetry_space_group_name_Hall '-P 2ybc'
loop_
_atom_site_label
_atom_site_type_symbol
_atom_site_fract_x
_atom_site_fract_y
_atom_site_fract_z
_atom_site_occupancy
Li1 Li 0.122 0.124 0.145 1
Nb1 Nb 0.500 0.000 0.000 1
Br1 Br 0.146 0.067 0.787 1
Br2 Br 0.236 0.687 0.563 1
Br3 Br 0.417 0.206 0.585 1
```


# 3
The following is a DFT calculation (PBE) of crystalline Ac6GaRu2Cl3 at its relaxed geometry.

ρ ... 7.27 g/cm³
VASP energy ... -5.289 eV/atom
Total magnetization ... 0.00 μB per formula unit

Cell and atoms, written as CIF:
```
data_Ac6GaRu2Cl3
_cell_length_a 7.623
_cell_length_b 13.212
_cell_length_c 8.292
_cell_angle_alpha 90.00
_cell_angle_beta 107.74
_cell_angle_gamma 90.00
_symmetry_space_group_name_H-M 'C 1 2/m 1'
_symmetry_Int_Tables_number 12
_symmetry_space_group_name_Hall '-C 2y'
loop_
_atom_site_label
_atom_site_type_symbol
_atom_site_fract_x
_atom_site_fract_y
_atom_site_fract_z
_atom_site_occupancy
Ac1 Ac 0.211 0.000 0.208 1
Ac2 Ac 0.248 0.321 0.207 1
Ga1 Ga 0.000 0.500 0.000 1
Ru1 Ru 0.000 0.166 0.000 1
Cl1 Cl 0.000 0.000 0.500 1
Cl2 Cl 0.000 0.330 0.500 1
```


# 4
The following is a DFT calculation (PBE) of crystalline Tl2OsCl at its relaxed geometry.

ρ ... 12.14 g/cm³
Total magnetization ... 0.96 μB per formula unit
Excess energy over the best structure of this formula in the dataset ... 0.032 eV/atom

Cell and atoms, written as CIF:
```
data_Tl2OsCl
_cell_length_a 5.057
_cell_length_b 3.101
_cell_length_c 11.064
_cell_angle_alpha 90.00
_cell_angle_beta 90.00
_cell_angle_gamma 90.00
_symmetry_space_group_name_H-M 'A m m 2'
_symmetry_Int_Tables_number 38
_symmetry_space_group_name_Hall 'A 2 -2'
loop_
_atom_site_label
_atom_site_type_symbol
_atom_site_fract_x
_atom_site_fract_y
_atom_site_fract_z
_atom_site_occupancy
Tl1 Tl 0.000 0.000 0.000 1
Tl2 Tl 0.500 0.000 0.258 1
Os1 Os 0.500 0.000 0.516 1
Cl1 Cl 0.000 0.000 0.745 1
```


# 5
The following is a DFT calculation (PBE) of crystalline HgSb2PtW at its relaxed geometry.

ρ ... 9.84 g/cm³
VASP energy ... -4.271 eV/atom
Total magnetization ... 3.56 μB per formula unit

Cell and atoms, written as CIF:
```
data_HgSb2PtW
_cell_length_a 5.215
_cell_length_b 5.215
_cell_length_c 5.107
_cell_angle_alpha 90.00
_cell_angle_beta 90.00
_cell_angle_gamma 90.00
_symmetry_space_group_name_H-M 'P 4/m m m'
_symmetry_Int_Tables_number 123
_symmetry_space_group_name_Hall '-P 4 2'
loop_
_atom_site_label
_atom_site_type_symbol
_atom_site_fract_x
_atom_site_fract_y
_atom_site_fract_z
_atom_site_occupancy
Hg1 Hg 0.000 0.000 0.000 1
Sb1 Sb 0.000 0.500 0.500 1
Pt1 Pt 0.000 0.000 0.500 1
W1 W 0.500 0.500 0.000 1
```


# 6
The following is a DFT calculation (PBE) of crystalline Hf2ScBi2 at its relaxed geometry.

ρ ... 11.14 g/cm³
Formation energy from the elements ... -0.158 eV/atom
Total magnetization ... 0.00 μB per formula unit
Excess energy over the best structure of this formula in the dataset ... 0.000 eV/atom

Cell and atoms, written as CIF:
```
data_Hf2ScBi2
_cell_length_a 7.960
_cell_length_b 7.960
_cell_length_c 3.858
_cell_angle_alpha 90.00
_cell_angle_beta 90.00
_cell_angle_gamma 90.00
_symmetry_space_group_name_H-M 'P 4/m b m'
_symmetry_Int_Tables_number 127
_symmetry_space_group_name_Hall '-P 4 2ab'
loop_
_atom_site_label
_atom_site_type_symbol
_atom_site_fract_x
_atom_site_fract_y
_atom_site_fract_z
_atom_site_occupancy
Hf1 Hf 0.145 0.355 0.000 1
Sc1 Sc 0.000 0.000 0.500 1
Bi1 Bi 0.152 0.652 0.500 1
```


# 7
The following is a DFT calculation (PBE) of crystalline CsPmC2O6 at its relaxed geometry.

ρ ... 4.25 g/cm³
VASP energy ... -7.506 eV/atom
Total magnetization ... 0.00 μB per formula unit

Cell and atoms, written as CIF:
```
data_CsPmC2O6
_cell_length_a 9.212
_cell_length_b 9.574
_cell_length_c 7.591
_cell_angle_alpha 90.00
_cell_angle_beta 111.80
_cell_angle_gamma 90.00
_symmetry_space_group_name_H-M 'C 1 2/c 1'
_symmetry_Int_Tables_number 15
_symmetry_space_group_name_Hall '-C 2yc'
loop_
_atom_site_label
_atom_site_type_symbol
_atom_site_fract_x
_atom_site_fract_y
_atom_site_fract_z
_atom_site_occupancy
Cs1 Cs 0.000 0.103 0.250 1
Pm1 Pm 0.000 0.405 0.750 1
C1 C 0.222 0.374 0.238 1
O1 O 0.086 0.382 0.095 1
O2 O 0.178 0.221 0.754 1
O3 O 0.247 0.467 0.371 1
```


# 8
The following is a DFT calculation (PBE) of crystalline Cu4C at its relaxed geometry.

ρ ... 7.11 g/cm³
Formation energy from the elements ... 1.236 eV/atom
Total magnetization ... 0.00 μB per formula unit
Excess energy over the best structure of this formula in the dataset ... 0.841 eV/atom

Cell and atoms, written as CIF:
```
data_Cu4C
_cell_length_a 3.131
_cell_length_b 3.131
_cell_length_c 12.681
_cell_angle_alpha 90.00
_cell_angle_beta 90.00
_cell_angle_gamma 90.00
_symmetry_space_group_name_H-M 'I 4/m m m'
_symmetry_Int_Tables_number 139
_symmetry_space_group_name_Hall '-I 4 2'
loop_
_atom_site_label
_atom_site_type_symbol
_atom_site_fract_x
_atom_site_fract_y
_atom_site_fract_z
_atom_site_occupancy
Cu1 Cu 0.000 0.000 0.090 1
Cu2 Cu 0.000 0.500 0.250 1
C1 C 0.000 0.000 0.500 1
```


# 9
The following is a DFT calculation (PBE) of crystalline NaLaH2Au at its relaxed geometry.

ρ ... 6.70 g/cm³
Total magnetization ... 0.53 μB per formula unit
Excess energy over the best structure of this formula in the dataset ... 0.000 eV/atom

Cell and atoms, written as CIF:
```
data_NaLaH2Au
_cell_length_a 4.189
_cell_length_b 4.189
_cell_length_c 5.100
_cell_angle_alpha 90.00
_cell_angle_beta 90.00
_cell_angle_gamma 90.00
_symmetry_space_group_name_H-M 'P 4/m m m'
_symmetry_Int_Tables_number 123
_symmetry_space_group_name_Hall '-P 4 2'
loop_
_atom_site_label
_atom_site_type_symbol
_atom_site_fract_x
_atom_site_fract_y
_atom_site_fract_z
_atom_site_occupancy
Na1 Na 0.000 0.000 0.000 1
La1 La 0.500 0.500 0.000 1
H1 H 0.000 0.500 0.500 1
Au1 Au 0.000 0.000 0.500 1
```


# 10
The following is a DFT calculation (PBE) of crystalline CsCu2B at its relaxed geometry.

ρ ... 4.75 g/cm³
Formation energy from the elements ... 0.491 eV/atom
Total magnetization ... 0.00 μB per formula unit

Cell and atoms, written as CIF:
```
data_CsCu2B
_cell_length_a 6.431
_cell_length_b 6.431
_cell_length_c 9.150
_cell_angle_alpha 90.00
_cell_angle_beta 90.00
_cell_angle_gamma 90.00
_symmetry_space_group_name_H-M 'I 41/a m d'
_symmetry_Int_Tables_number 141
loop_
_symmetry_equiv_pos_as_xyz
'x,y,z'
'-x,-y,-z'
'-y+1/4,x+3/4,z+1/4'
'y+1/4,-x+3/4,-z+1/4'
'-x+1/2,-y,z+1/2'
'x+1/2,y,-z+1/2'
'y+1/4,-x+1/4,z+3/4'
'-y+1/4,x+1/4,-z+3/4'
'x,-y,-z'
'-x,y,z'
'-y+1/4,-x+1/4,-z+3/4'
'y+1/4,x+1/4,z+3/4'
'-x+1/2,y,-z+1/2'
'x+1/2,-y,z+1/2'
'y+1/4,x+3/4,-z+1/4'
'-y+1/4,-x+3/4,z+1/4'
'x+1/2,y+1/2,z+1/2'
'-x+1/2,-y+1/2,-z+1/2'
'-y+3/4,x+1/4,z+3/4'
'y+3/4,-x+1/4,-z+3/4'
'-x,-y+1/2,z'
'x,y+1/2,-z'
'y+3/4,-x+3/4,z+1/4'
'-y+3/4,x+3/4,-z+1/4'
'x+1/2,-y+1/2,-z+1/2'
'-x+1/2,y+1/2,z+1/2'
'-y+3/4,-x+3/4,-z+1/4'
'y+3/4,x+3/4,z+1/4'
'-x,y+1/2,-z'
'x,-y+1/2,z'
'y+3/4,x+1/4,-z+3/4'
'-y+3/4,-x+1/4,z+3/4'
loop_
_atom_site_label
_atom_site_type_symbol
_atom_site_fract_x
_atom_site_fract_y
_atom_site_fract_z
_atom_site_occupancy
Cs1 Cs 0.000 0.250 0.375 1
Cu1 Cu 0.000 0.000 0.000 1
B1 B 0.000 0.250 0.875 1
```


Question: Which value of ρ does entry 6 give?
Answer: 11.14 g/cm³


Question: Number 5 is which compound?
Answer: HgSb2PtW